Here is CaPrFe2O6 after structural relaxation from Alexandria. Energies are from PBE+U.

Summary:
Size of the total moment, Bohr magnetons per cell: 18.0
Density, kg/m3: 5478
Total energy, eV per atom: -6.985
Space group: Pmn2_1 (31)

Lattice parameters (Å, degrees): 5.4640 5.5553 7.7636 90.00 90.00 90.00
Closest atoms and distances in Å follow each position.
Fractional coordinates of all 20 atoms:
O  0.7887  0.5395  0.2929  2 Fe 2.00-2.02
O  0.7887  0.5395  0.7071  2 Fe 2.00-2.02
O  0.2125  0.9614  0.7905  2 Fe 1.98-1.99
O  0.7125  0.0386  0.7095  2 Fe 1.98-1.99
O  0.5763  0.7700  0.0000  2 Fe 1.99
O  0.2887  0.4605  0.2071  2 Fe 2.00-2.02
O  0.0763  0.2300  0.5000  2 Fe 1.99
O  0.2887  0.4605  0.7929  2 Fe 2.00-2.02
O  0.4194  0.7323  0.5000  2 Fe 1.99
O  0.9194  0.2677  0.0000  2 Fe 1.99
O  0.2125  0.9614  0.2095  2 Fe 1.98-1.99
O  0.7125  0.0386  0.2905  2 Fe 1.98-1.99
Ca  0.4903  0.2040  0.0000  6 O 2.37-2.60
Ca  0.9903  0.7960  0.5000  6 O 2.37-2.60
Fe  0.5006  0.7522  0.7495  6 O 1.98-2.02
Fe  0.0006  0.2478  0.7505  6 O 1.98-2.02
Fe  0.5006  0.7522  0.2505  6 O 1.98-2.02
Fe  0.0006  0.2478  0.2495  6 O 1.98-2.02
Pr  0.0103  0.7061  0.0000  6 O 2.40-2.60
Pr  0.5103  0.2939  0.5000  6 O 2.40-2.60